Entry 1:
## PmCdSi2Pt7 (PBE)

Data for PmCdSi2Pt7 after structural relaxation.

Calculated values
total magnetic moment	0.00	μB/f.u.
electronic total energy	-124.91	eV per cell

Cell lengths 4.0664, 4.0664, 29.7665 Å; angles 90.00, 90.00, 90.00 degrees
Space group I-4m2 (No. 119)
Asymmetric unit:
Pm: 0.0000 0.0000 0.0000
Cd: 0.0000 0.5000 0.2500
Si: 0.0000 0.0000 0.3821
Pt: 0.0000 0.0000 0.3075
Pt: 0.0000 0.0000 0.5000
Pt: 0.0000 0.5000 0.0755
Pt: 0.0000 0.5000 0.5751

Entry 2:
## Pm2CdSi3Pt4 (PBE)

Data for Pm2CdSi3Pt4 after structural relaxation.

Calculated values
total magnetic moment	0.00	μB/f.u.
electronic total energy	-60.40	eV per cell

Cell lengths 4.2767, 4.2767, 10.3448 Å; angles 90.00, 90.00, 90.00 degrees
Space group P-4m2 (No. 115)
Asymmetric unit:
Pm: 0.0000 0.5000 0.2459
Cd: 0.0000 0.0000 0.5000
Si: 0.0000 0.5000 0.8776
Si: 0.5000 0.5000 0.5000
Pt: 0.0000 0.0000 0.0000
Pt: 0.0000 0.5000 0.6515
Pt: 0.5000 0.5000 0.0000

Entry 3:
## Pm2CdSi4Pt3 (PBE)

Data for Pm2CdSi4Pt3 after structural relaxation.

Calculated values
total magnetic moment	0.00	μB/f.u.
electronic total energy	-59.51	eV per cell

Cell lengths 4.2651, 4.2651, 10.1786 Å; angles 90.00, 90.00, 90.00 degrees
Space group P-4m2 (No. 115)
Asymmetric unit:
Pm: 0.0000 0.5000 0.2412
Cd: 0.0000 0.0000 0.5000
Si: 0.0000 0.0000 0.0000
Si: 0.0000 0.5000 0.6485
Si: 0.5000 0.5000 0.0000
Pt: 0.0000 0.5000 0.8844
Pt: 0.5000 0.5000 0.5000

Entry 4:
## PmCd2SiPt2 (PBE)

Data for PmCd2SiPt2 after structural relaxation.

Calculated values
total magnetic moment	0.00	μB/f.u.
electronic total energy	-51.18	eV per cell

Cell lengths 5.2929, 5.2929, 10.4816 Å; angles 90.00, 90.00, 90.00 degrees
Space group I4/mmm (No. 139)
Asymmetric unit:
Pm: 0.0000 0.0000 0.0000
Cd: 0.0000 0.5000 0.2500
Si: 0.0000 0.0000 0.5000
Pt: 0.0000 0.0000 0.2866

Entry 5:
## PmSmCdPt (PBE)

Data for PmSmCdPt after structural relaxation.

Calculated values
total magnetic moment	0.00	μB/f.u.
electronic total energy	-76.13	eV per cell
ΔH_f (0 K)	-651	meV/atom

Cell lengths 7.3688, 7.3688, 7.3688 Å; angles 90.00, 90.00, 90.00 degrees
Space group F-43m (No. 216)
Asymmetric unit:
Pm: 0.0000 0.0000 0.0000
Sm: 0.0000 0.0000 0.5000
Cd: 0.2500 0.2500 0.2500
Pt: 0.2500 0.2500 0.7500

Entry 6:
## Pm2CdSn4Pt3 (PBE)

Data for Pm2CdSn4Pt3 after structural relaxation.

Calculated values
total magnetic moment	0.00	μB/f.u.
electronic total energy	-51.72	eV per cell
ΔH_f (0 K)	-717	meV/atom

Cell lengths 4.4909, 4.4909, 11.4833 Å; angles 90.00, 90.00, 90.00 degrees
Space group P-4m2 (No. 115)
Asymmetric unit:
Pm: 0.0000 0.5000 0.2485
Cd: 0.5000 0.5000 0.0000
Sn: 0.0000 0.0000 0.5000
Sn: 0.0000 0.5000 0.8561
Sn: 0.5000 0.5000 0.5000
Pt: 0.0000 0.0000 0.0000
Pt: 0.0000 0.5000 0.6300

Entry 7:
## PmCdSnPt (PBE)

Data for PmCdSnPt after structural relaxation.

Calculated values
total magnetic moment	0.00	μB/f.u.
electronic total energy	-72.23	eV per cell
ΔH_f (0 K)	-587	meV/atom

Cell lengths 7.1143, 7.1143, 7.1143 Å; angles 90.00, 90.00, 90.00 degrees
Space group F-43m (No. 216)
Asymmetric unit:
Pm: 0.0000 0.0000 0.0000
Cd: 0.2500 0.2500 0.2500
Sn: 0.0000 0.0000 0.5000
Pt: 0.2500 0.2500 0.7500

Entry 8:
## Pm2CdSn3Pt4 (PBE)

Data for Pm2CdSn3Pt4 after structural relaxation.

Calculated values
total magnetic moment	0.00	μB/f.u.
electronic total energy	-54.30	eV per cell
ΔH_f (0 K)	-772	meV/atom

Cell lengths 4.5197, 4.5197, 11.0021 Å; angles 90.00, 90.00, 90.00 degrees
Space group P-4m2 (No. 115)
Asymmetric unit:
Pm: 0.0000 0.5000 0.2469
Cd: 0.0000 0.0000 0.5000
Sn: 0.0000 0.5000 0.8718
Sn: 0.5000 0.5000 0.5000
Pt: 0.0000 0.0000 0.0000
Pt: 0.0000 0.5000 0.6389
Pt: 0.5000 0.5000 0.0000